Record 1
A geometry-optimized SrRePd3 structure. Source: Alexandria, functional PBEsol.

Results
DFT formation energy	2059	meV per atom
crystal system	cubic

```
SrRePd3
1.0
4.902 0.000 0.000
0.000 4.902 0.000
0.000 0.000 4.902
Sr Re Pd
1 1 3
Direct
0.000 0.000 0.000
0.500 0.500 0.500
0.000 0.000 0.500
0.000 0.500 0.000
0.500 0.000 0.000
```

***

Record 2
A geometry-optimized SrReTe2Pd structure. Source: Alexandria, functional PBEsol.

Results
crystal system	tetragonal
raw formation energy	1770	meV/atom

```
SrReTe2Pd
1.0
5.929 0.000 0.000
0.000 5.929 0.000
0.000 0.000 4.938
Sr Re Te Pd
1 1 2 1
Direct
0.000 0.000 0.000
0.500 0.500 0.500
0.000 0.500 0.000
0.500 0.000 0.000
0.000 0.000 0.500
```

***

Record 3
A geometry-optimized Y2TaRePd structure. Source: Alexandria, functional PBEsol.

Results
DFT formation energy	760	meV per atom
crystal system	tetragonal

```
Y2TaRePd
1.0
5.301 0.000 0.000
0.000 5.301 0.000
0.000 0.000 4.724
Y Ta Re Pd
2 1 1 1
Direct
0.000 0.500 0.000
0.500 0.000 0.000
0.000 0.000 0.500
0.000 0.000 0.000
0.500 0.500 0.500
```

***

Record 4
A geometry-optimized ReTc2Pd structure. Source: Alexandria, functional PBEsol.

Results
DFT formation energy	284	meV per atom
crystal system	cubic

```
ReTc2Pd
1.0
0.000 3.063 3.063
3.063 0.000 3.063
3.063 3.063 0.000
Re Tc Pd
1 2 1
Direct
0.000 0.000 0.000
0.250 0.250 0.250
0.750 0.750 0.750
0.500 0.500 0.500
```